Entry from the Open Quantum Materials Database: a relaxed structure of CoBr3 (GGA-PBE).

Its space-group type is Cmcm. The calculation puts the calculated density at 3.44 Mg/m³. The electronic total energy is -12.6 eV/f.u.

a b c (Å): 6.402 6.402 7.829
angles (deg): 90.00 90.00 116.00
Each line ends with the local moment (μB).
Sites, in units of the cell vectors:
1 Br 0.024 0.976 0.750  0.34
2 Br 0.976 0.024 0.250  0.34
3 Co 0.230 0.770 0.750  2.55
4 Br 0.334 0.666 0.504  0.34
5 Br 0.666 0.334 0.004  0.34
6 Br 0.666 0.334 0.496  0.34
7 Co 0.770 0.230 0.250  2.55
8 Br 0.334 0.666 0.996  0.34